No. 1
# ZnHg3Sb

A crystal of ZnHg3Sb relaxed with PBEsol (SCAN, the Alexandria database). Values from VASP.

Summary:
energy relative to the lowest polymorph listed for this composition	0	meV/atom
symmetry	No. 221
calculated total energy	-50.70	eV per atom

Geometry as Quantum ESPRESSO input:
```
&SYSTEM
  ibrav = 0, nat = 5, ntyp = 3
/
ATOMIC_SPECIES
Zn 65.41 Zn.upf
Hg 200.59 Hg.upf
Sb 121.76 Sb.upf
CELL_PARAMETERS angstrom
5.040 0.000 0.000
0.000 5.040 0.000
0.000 0.000 5.040
ATOMIC_POSITIONS angstrom
Zn 0.000 0.000 0.000
Hg 0.000 0.000 2.520
Hg 0.000 2.520 0.000
Hg 2.520 0.000 0.000
Sb 2.520 2.520 2.520
```

---

No. 2
# ZnHgSb

A crystal of ZnHgSb relaxed with PBEsol (SCAN, the Alexandria database). Values from VASP.

Summary:
energy relative to the lowest polymorph listed for this composition	8	meV/atom
symmetry	No. 216
calculated total energy	-39.45	eV per atom

Geometry as Quantum ESPRESSO input:
```
&SYSTEM
  ibrav = 0, nat = 3, ntyp = 3
/
ATOMIC_SPECIES
Zn 65.41 Zn.upf
Hg 200.59 Hg.upf
Sb 121.76 Sb.upf
CELL_PARAMETERS angstrom
0.000 3.362 3.362
3.362 0.000 3.362
3.362 3.362 0.000
ATOMIC_POSITIONS angstrom
Zn 0.000 0.000 0.000
Hg 3.362 3.362 3.362
Sb 5.043 5.043 5.043
```

---

No. 3
# ZnHg3Sb

A crystal of ZnHg3Sb relaxed with PBEsol (SCAN, the Alexandria database). Values from VASP.

Summary:
energy relative to the lowest polymorph listed for this composition	4	meV/atom
symmetry	No. 221
calculated total energy	-50.70	eV per atom

Geometry as Quantum ESPRESSO input:
```
&SYSTEM
  ibrav = 0, nat = 5, ntyp = 3
/
ATOMIC_SPECIES
Zn 65.41 Zn.upf
Hg 200.59 Hg.upf
Sb 121.76 Sb.upf
CELL_PARAMETERS angstrom
5.604 0.000 0.000
0.000 5.604 0.000
0.000 0.000 5.604
ATOMIC_POSITIONS angstrom
Zn 0.000 0.000 0.000
Hg 0.000 2.802 2.802
Hg 2.802 0.000 2.802
Hg 2.802 2.802 0.000
Sb 2.802 2.802 2.802
```

---

No. 4
# Zn2HgSb

A crystal of Zn2HgSb relaxed with PBEsol (SCAN, the Alexandria database). Values from VASP.

Summary:
energy relative to the lowest polymorph listed for this composition	0	meV/atom
symmetry	No. 12
calculated total energy	-33.00	eV per atom

Geometry as Quantum ESPRESSO input:
```
&SYSTEM
  ibrav = 0, nat = 4, ntyp = 3
/
ATOMIC_SPECIES
Zn 65.41 Zn.upf
Hg 200.59 Hg.upf
Sb 121.76 Sb.upf
CELL_PARAMETERS angstrom
3.929 -1.727 0.000
3.929 1.727 0.000
-1.446 0.000 6.064
ATOMIC_POSITIONS angstrom
Zn 1.606 0.000 1.431
Zn 4.805 0.000 4.633
Hg 3.929 0.000 0.000
Sb -0.723 0.000 3.032
```

---

No. 5
# Zn2HgSb

A crystal of Zn2HgSb relaxed with PBEsol (SCAN, the Alexandria database). Values from VASP.

Summary:
energy relative to the lowest polymorph listed for this composition	81	meV/atom
symmetry	No. 12
calculated total energy	-32.92	eV per atom

Geometry as Quantum ESPRESSO input:
```
&SYSTEM
  ibrav = 0, nat = 4, ntyp = 3
/
ATOMIC_SPECIES
Zn 65.41 Zn.upf
Hg 200.59 Hg.upf
Sb 121.76 Sb.upf
CELL_PARAMETERS angstrom
4.125 -3.424 0.000
4.125 3.424 0.000
-0.830 0.000 2.930
ATOMIC_POSITIONS angstrom
Zn 2.062 1.712 0.000
Zn 2.062 -1.712 0.000
Hg -0.415 0.000 1.465
Sb 3.710 0.000 1.465
```

---

No. 6
# ZnHgSb

A crystal of ZnHgSb relaxed with PBEsol (SCAN, the Alexandria database). Values from VASP.

Summary:
energy relative to the lowest polymorph listed for this composition	0	meV/atom
symmetry	No. 42
calculated total energy	-39.46	eV per atom

Geometry as Quantum ESPRESSO input:
```
&SYSTEM
  ibrav = 0, nat = 3, ntyp = 3
/
ATOMIC_SPECIES
Zn 65.41 Zn.upf
Hg 200.59 Hg.upf
Sb 121.76 Sb.upf
CELL_PARAMETERS angstrom
0.000 2.611 6.238
2.001 0.000 6.238
2.001 2.611 0.000
ATOMIC_POSITIONS angstrom
Zn 0.000 0.000 0.000
Hg 2.001 2.611 8.087
Sb 2.001 2.611 4.268
```

---

No. 7
# ZrHgSb

A crystal of ZrHgSb relaxed with PBEsol (SCAN, the Alexandria database). Values from VASP.

Summary:
symmetry	No. 107
calculated total energy	-45.60	eV per atom

Geometry as Quantum ESPRESSO input:
```
&SYSTEM
  ibrav = 0, nat = 3, ntyp = 3
/
ATOMIC_SPECIES
Zr 91.22 Zr.upf
Hg 200.59 Hg.upf
Sb 121.76 Sb.upf
CELL_PARAMETERS angstrom
-1.860 1.860 4.804
1.860 -1.860 4.804
1.860 1.860 -4.804
ATOMIC_POSITIONS angstrom
Zr 0.000 0.000 0.000
Hg 0.000 0.000 6.466
Sb 0.000 0.000 3.335
```

---

No. 8
# Zr2HgSb2

A crystal of Zr2HgSb2 relaxed with PBEsol (SCAN, the Alexandria database). Values from VASP.

Summary:
symmetry	No. 127
calculated total energy	-41.40	eV per atom

Geometry as Quantum ESPRESSO input:
```
&SYSTEM
  ibrav = 0, nat = 10, ntyp = 3
/
ATOMIC_SPECIES
Zr 91.22 Zr.upf
Hg 200.59 Hg.upf
Sb 121.76 Sb.upf
CELL_PARAMETERS angstrom
7.794 0.000 0.000
0.000 7.794 0.000
0.000 0.000 3.786
ATOMIC_POSITIONS angstrom
Zr 1.123 2.774 0.000
Zr 2.774 6.671 0.000
Zr 5.019 1.123 0.000
Zr 6.671 5.019 0.000
Hg 0.000 0.000 0.000
Hg 3.897 3.897 0.000
Sb 1.185 5.082 1.893
Sb 2.712 1.185 1.893
Sb 5.082 6.609 1.893
Sb 6.609 2.712 1.893
```

---

| no. | DOS at the Fermi energy (states/eV/f.u.) |
| --- | --- |
| 1 | 3.347 |
| 2 | 1.804 |
| 3 | 1.693 |
| 4 | 1.320 |
| 5 | 1.400 |
| 6 | 1.182 |
| 7 | 3.284 |
| 8 | 3.272 |